[1]
Compound: MgUGa6
Source: Alexandria via LeMat-Bulk
Functional: GGA-PBE
Structure: optimized geometry

The structure belongs to space group P4/mmm (No. 123); the cell edges are 4.231, 4.231 and 8.380 Å and the angles 90.00°, 90.00° and 90.00°. The asymmetric unit holds Mg at (0.000, 0.000, 0.000), U at (0.000, 0.000, 0.500), Ga at (0.000, 0.500, 0.242), Ga at (0.500, 0.500, 0.000) and Ga at (0.500, 0.500, 0.500).

The value obtained for the formation energy is -0.13 eV per atom.

***

[2]
Compound: MgUZnGa
Source: Alexandria via LeMat-Bulk
Functional: GGA-PBE
Structure: optimized geometry

The structure belongs to space group F-43m (No. 216); the cell edges are 6.864, 6.864 and 6.864 Å and the angles 90.00°, 90.00° and 90.00°. The asymmetric unit holds Mg at (0.000, 0.000, 0.000), U at (0.000, 0.000, 0.500), Zn at (0.250, 0.250, 0.250) and Ga at (0.250, 0.250, 0.750).

The value obtained for the formation energy is 0.01 eV per atom.

***

[3]
Compound: Mg3VGa
Source: Alexandria via LeMat-Bulk
Functional: GGA-PBE
Structure: optimized geometry

The structure belongs to space group Pm-3m (No. 221); the cell edges are 5.257, 5.257 and 5.257 Å and the angles 90.00°, 90.00° and 90.00°. The asymmetric unit holds Mg at (0.000, 0.000, 0.500), V at (0.000, 0.000, 0.000) and Ga at (0.500, 0.500, 0.500).

The value obtained for the formation energy is 0.86 eV per atom. Its offset from the most stable computed form is 185 meV/atom.

***

[4]
Compound: Mg2VGa
Source: Alexandria via LeMat-Bulk
Functional: GGA-PBE
Structure: optimized geometry

The structure belongs to space group I-42d (No. 122); the cell edges are 7.580, 7.580 and 5.455 Å and the angles 90.00°, 90.00° and 90.00°. The asymmetric unit holds Mg at (0.231, 0.250, 0.125), V at (0.000, 0.000, 0.500) and Ga at (0.000, 0.000, 0.000).

The value obtained for the formation energy is 0.44 eV per atom.